Record 1
A relaxed K2Ag2GeSe4 crystal, computed with PBEsol.

abc: 12.7002 11.2090 7.5720
angles: 82.66 61.09 36.25
Closest atoms and distances in Å follow each position.
Fractional coordinates of all 18 atoms:
K 0.0614 0.0614 0.6886  6 Se 3.30-3.53
K 0.3114 0.3114 0.9386  6 Se 3.30-3.53
K 0.6886 0.6886 0.0614  6 Se 3.30-3.53
K 0.9386 0.9386 0.3114  6 Se 3.30-3.53
Ag 0.3004 0.3004 0.4496  2 Se 2.49
Ag 0.4496 0.4496 0.3004  2 Se 2.49
Ag 0.5504 0.5504 0.6996  2 Se 2.49
Ag 0.6996 0.6996 0.5504  2 Se 2.49
Ge 0.1250 0.1250 0.1250  4 Se 2.39
Ge 0.8750 0.8750 0.8750  4 Se 2.39
Se 0.0982 0.2780 0.3686  1 Ge 2.39, 1 Ag 2.49
Se 0.2449 0.6314 0.7220  1 Ge 2.39, 1 Ag 2.49
Se 0.2780 0.0982 0.7551  1 Ge 2.39, 1 Ag 2.49
Se 0.3686 0.7551 0.0982  1 Ge 2.39, 1 Ag 2.49
Se 0.6314 0.2449 0.9018  1 Ge 2.39, 1 Ag 2.49
Se 0.7220 0.9018 0.2449  1 Ge 2.39, 1 Ag 2.49
Se 0.7551 0.3686 0.2780  1 Ge 2.39, 1 Ag 2.49
Se 0.9018 0.7220 0.6314  1 Ge 2.39, 1 Ag 2.49

Calculated values
uncorrected formation energy = -0.60 eV/atom
magnetization = 0.00 μB/cell
V = 26.7 Å³/atom

---

Record 2
A relaxed Y2CoRu crystal, computed with PBEsol.

abc: 4.6435 4.6435 4.6435
angles: 60.00 60.00 60.00
Closest atoms and distances in Å follow each position.
Fractional coordinates of all 4 atoms:
Y 0.0000 0.0000 0.0000  4 Co 2.84, 4 Y 2.84
Y 0.2500 0.2500 0.2500  4 Ru 2.84, 4 Y 2.84
Co 0.7500 0.7500 0.7500  4 Ru 2.84, 4 Y 2.84
Ru 0.5000 0.5000 0.5000  4 Co 2.84, 4 Y 2.84

Calculated values
formation enthalpy at 0 K = 0.229 eV/atom
magnetization = 1.54 μB/cell
V = 17.7 Å³/atom
N(E_F) = 4.4 states/eV per cell

---

Record 3
A relaxed TiGeAsBr2 crystal, computed with PBEsol.

abc: 5.0446 5.0446 5.0434
angles: 90.00 90.00 90.00
Closest atoms and distances in Å follow each position.
Fractional coordinates of all 5 atoms:
Ti 0.0000 0.0000 0.0000  8 Br 3.57, 4 As 3.57
Ge 0.5000 0.5000 0.5000  2 As 2.52, 4 Br 2.52
As 0.5000 0.5000 0.0000  2 Ge 2.52
Br 0.0000 0.5000 0.5000  2 Ge 2.52
Br 0.5000 0.0000 0.5000  2 Ge 2.52

Calculated values
uncorrected formation energy = 0.48 eV/atom
magnetization = 1.62 μB/cell
V = 25.7 Å³/atom
N(E_F) = 6.7 states/eV per cell

---

Please write out number 1 again, unchanged.
A relaxed K2Ag2GeSe4 crystal, computed with PBEsol.

abc: 12.7002 11.2090 7.5720
angles: 82.66 61.09 36.25
Closest atoms and distances in Å follow each position.
Fractional coordinates of all 18 atoms:
K 0.0614 0.0614 0.6886  6 Se 3.30-3.53
K 0.3114 0.3114 0.9386  6 Se 3.30-3.53
K 0.6886 0.6886 0.0614  6 Se 3.30-3.53
K 0.9386 0.9386 0.3114  6 Se 3.30-3.53
Ag 0.3004 0.3004 0.4496  2 Se 2.49
Ag 0.4496 0.4496 0.3004  2 Se 2.49
Ag 0.5504 0.5504 0.6996  2 Se 2.49
Ag 0.6996 0.6996 0.5504  2 Se 2.49
Ge 0.1250 0.1250 0.1250  4 Se 2.39
Ge 0.8750 0.8750 0.8750  4 Se 2.39
Se 0.0982 0.2780 0.3686  1 Ge 2.39, 1 Ag 2.49
Se 0.2449 0.6314 0.7220  1 Ge 2.39, 1 Ag 2.49
Se 0.2780 0.0982 0.7551  1 Ge 2.39, 1 Ag 2.49
Se 0.3686 0.7551 0.0982  1 Ge 2.39, 1 Ag 2.49
Se 0.6314 0.2449 0.9018  1 Ge 2.39, 1 Ag 2.49
Se 0.7220 0.9018 0.2449  1 Ge 2.39, 1 Ag 2.49
Se 0.7551 0.3686 0.2780  1 Ge 2.39, 1 Ag 2.49
Se 0.9018 0.7220 0.6314  1 Ge 2.39, 1 Ag 2.49

Calculated values
uncorrected formation energy = -0.60 eV/atom
magnetization = 0.00 μB/cell
V = 26.7 Å³/atom